Entry 1:
The following is a PBE-GGA calculation of a relaxed structure of TiSiRh3, from Alexandria.

CIF file:
```
data_TiSiRh3
_symmetry_space_group_name_H-M 'P m -3 m'
_symmetry_Int_Tables_number 221
_symmetry_space_group_name_Hall '-P 4 2 3'
_cell_length_a 4.5182
_cell_length_b 4.5182
_cell_length_c 4.5182
_cell_angle_alpha 90.00
_cell_angle_beta 90.00
_cell_angle_gamma 90.00
loop_
_atom_site_label
_atom_site_type_symbol
_atom_site_fract_x
_atom_site_fract_y
_atom_site_fract_z
_atom_site_occupancy
Ti1 Ti 0.0000 0.0000 0.0000 1
Si1 Si 0.5000 0.5000 0.5000 1
Rh1 Rh 0.0000 0.0000 0.5000 1
```

Results
Energy relative to the lowest polymorph listed for this composition (eV per formula unit): 6.797
DOS(E_F) (states/eV/f.u.): 3.07
Magnetic moment (μB/cell): 0.00
Formation energy (no corrections) (eV/atom): 0.73

Entry 2:
The following is a PBE-GGA calculation of a relaxed structure of Y2Mg, from Alexandria.

CIF file:
```
data_Y2Mg
_symmetry_space_group_name_H-M 'C 1 m 1'
_symmetry_Int_Tables_number 8
_cell_length_a 12.5488
_cell_length_b 3.8273
_cell_length_c 7.8407
_cell_angle_alpha 90.00
_cell_angle_beta 110.43
_cell_angle_gamma 90.00
loop_
_symmetry_equiv_pos_as_xyz
'x,y,z'
'x,-y,z'
'x+1/2,y+1/2,z'
'x+1/2,-y+1/2,z'
loop_
_atom_site_label
_atom_site_type_symbol
_atom_site_fract_x
_atom_site_fract_y
_atom_site_fract_z
_atom_site_occupancy
Y1 Y 0.0000 0.0000 0.0000 1
Y2 Y 0.9999 0.0000 0.4994 1
Y3 Y 0.1854 0.5000 0.8189 1
Y4 Y 0.3142 0.0000 0.1802 1
Mg1 Mg 0.1651 0.5000 0.3568 1
Mg2 Mg 0.3354 0.0000 0.6432 1
```

Results
VASP energy (eV per atom): -4.84
DOS(E_F) (states/eV/f.u.): 3.69
Magnetic moment (μB/cell): 0.00

Entry 3:
The following is a PBE-GGA calculation of a relaxed structure of Sm2HoTm, from Alexandria.

CIF file:
```
data_Sm2HoTm
_symmetry_space_group_name_H-M 'C 1 m 1'
_symmetry_Int_Tables_number 8
_cell_length_a 7.2516
_cell_length_b 11.4092
_cell_length_c 3.6343
_cell_angle_alpha 90.00
_cell_angle_beta 119.99
_cell_angle_gamma 90.00
loop_
_symmetry_equiv_pos_as_xyz
'x,y,z'
'x,-y,z'
'x+1/2,y+1/2,z'
'x+1/2,-y+1/2,z'
loop_
_atom_site_label
_atom_site_type_symbol
_atom_site_fract_x
_atom_site_fract_y
_atom_site_fract_z
_atom_site_occupancy
Sm1 Sm 0.0000 0.2493 0.0000 1
Ho1 Ho 0.1663 0.5000 0.6637 1
Tm1 Tm 0.1674 0.0000 0.6647 1
```

Results
Energy relative to the lowest polymorph listed for this composition (eV per formula unit): 0.039
DOS(E_F) (states/eV/f.u.): 7.18
Magnetic moment (μB/cell): 0.00

Entry 4:
The following is a PBE-GGA calculation of a relaxed structure of Nd2Zn4Pt5, from Alexandria.

CIF file:
```
data_Nd2Zn4Pt5
_symmetry_space_group_name_H-M 'F m m m'
_symmetry_Int_Tables_number 69
_symmetry_space_group_name_Hall '-F 2 2'
_cell_length_a 5.6661
_cell_length_b 9.3912
_cell_length_c 15.7838
_cell_angle_alpha 90.00
_cell_angle_beta 90.00
_cell_angle_gamma 90.00
loop_
_atom_site_label
_atom_site_type_symbol
_atom_site_fract_x
_atom_site_fract_y
_atom_site_fract_z
_atom_site_occupancy
Nd1 Nd 0.0000 0.0000 0.1259 1
Zn1 Zn 0.0000 0.1556 0.3698 1
Pt1 Pt 0.0000 0.0000 0.5000 1
Pt2 Pt 0.2500 0.2500 0.0000 1
Pt3 Pt 0.2500 0.2500 0.2500 1
```

Results
VASP energy (eV per atom): -4.83
DOS(E_F) (states/eV/f.u.): 3.41
Magnetic moment (μB/cell): 0.00

Entry 5:
The following is a PBE-GGA calculation of a relaxed structure of La2TmMo2N6, from Alexandria.

CIF file:
```
data_La2TmMo2N6
_symmetry_space_group_name_H-M 'R -3 m'
_symmetry_Int_Tables_number 166
_symmetry_space_group_name_Hall '-R 3 2"'
_cell_length_a 5.8148
_cell_length_b 5.8148
_cell_length_c 18.2427
_cell_angle_alpha 90.00
_cell_angle_beta 90.00
_cell_angle_gamma 120.00
loop_
_atom_site_label
_atom_site_type_symbol
_atom_site_fract_x
_atom_site_fract_y
_atom_site_fract_z
_atom_site_occupancy
La1 La 0.0000 0.0000 0.2020 1
Tm1 Tm 0.0000 0.0000 0.0000 1
Mo1 Mo 0.0000 0.0000 0.3972 1
N1 N 0.0111 0.5056 0.7614 1
```

Results
DOS(E_F) (states/eV/f.u.): 2.47
Magnetic moment (μB/cell): 0.00
Formation energy (no corrections) (eV/atom): -0.86

Entry 6:
The following is a PBE-GGA calculation of a relaxed structure of SiNi2Pb, from Alexandria.

CIF file:
```
data_SiNi2Pb
_symmetry_space_group_name_H-M 'C 1 2/m 1'
_symmetry_Int_Tables_number 12
_cell_length_a 6.6414
_cell_length_b 3.8454
_cell_length_c 5.6586
_cell_angle_alpha 90.00
_cell_angle_beta 112.15
_cell_angle_gamma 90.00
loop_
_symmetry_equiv_pos_as_xyz
'x,y,z'
'-x,-y,-z'
'-x,y,-z'
'x,-y,z'
'x+1/2,y+1/2,z'
'-x+1/2,-y+1/2,-z'
'-x+1/2,y+1/2,-z'
'x+1/2,-y+1/2,z'
loop_
_atom_site_label
_atom_site_type_symbol
_atom_site_fract_x
_atom_site_fract_y
_atom_site_fract_z
_atom_site_occupancy
Si1 Si 0.0000 0.0000 0.0000 1
Ni1 Ni 0.2052 0.5000 0.1197 1
Pb1 Pb 0.0000 0.5000 0.5000 1
```

Results
Energy relative to the lowest polymorph listed for this composition (eV per formula unit): 0.000
DOS(E_F) (states/eV/f.u.): 1.97
Magnetic moment (μB/cell): 0.00
Formation energy (no corrections) (eV/atom): -0.13

Entry 7:
The following is a PBE-GGA calculation of a relaxed structure of PmCoCuSn, from Alexandria.

CIF file:
```
data_PmCoCuSn
_symmetry_space_group_name_H-M 'F -4 3 m'
_symmetry_Int_Tables_number 216
_symmetry_space_group_name_Hall 'F -4 2 3'
_cell_length_a 6.6680
_cell_length_b 6.6680
_cell_length_c 6.6680
_cell_angle_alpha 90.00
_cell_angle_beta 90.00
_cell_angle_gamma 90.00
loop_
_atom_site_label
_atom_site_type_symbol
_atom_site_fract_x
_atom_site_fract_y
_atom_site_fract_z
_atom_site_occupancy
Pm1 Pm 0.0000 0.0000 0.0000 1
Co1 Co 0.2500 0.2500 0.7500 1
Cu1 Cu 0.2500 0.2500 0.2500 1
Sn1 Sn 0.0000 0.0000 0.5000 1
```

Results
VASP energy (eV per atom): -5.19
DOS(E_F) (states/eV/f.u.): 2.87
Magnetic moment (μB/cell): 4.77

Entry 8:
The following is a PBE-GGA calculation of a relaxed structure of TlCd3Hg6, from Alexandria.

CIF file:
```
data_TlCd3Hg6
_symmetry_space_group_name_H-M 'C m c 21'
_symmetry_Int_Tables_number 36
_cell_length_a 9.1135
_cell_length_b 15.7037
_cell_length_c 7.3904
_cell_angle_alpha 90.00
_cell_angle_beta 90.00
_cell_angle_gamma 90.00
loop_
_symmetry_equiv_pos_as_xyz
'x,y,z'
'-x,-y,z+1/2'
'-x,y,z'
'x,-y,z+1/2'
'x+1/2,y+1/2,z'
'-x+1/2,-y+1/2,z+1/2'
'-x+1/2,y+1/2,z'
'x+1/2,-y+1/2,z+1/2'
loop_
_atom_site_label
_atom_site_type_symbol
_atom_site_fract_x
_atom_site_fract_y
_atom_site_fract_z
_atom_site_occupancy
Tl1 Tl 0.0000 0.1737 0.0000 1
Cd1 Cd 0.0000 0.3967 0.0569 1
Cd2 Cd 0.1701 0.1240 0.5965 1
Hg1 Hg 0.0000 0.0243 0.2921 1
Hg2 Hg 0.0000 0.2783 0.3888 1
Hg3 Hg 0.1884 0.4512 0.4522 1
Hg4 Hg 0.1911 0.3096 0.7473 1
```

Results
VASP energy (eV per atom): -0.67
DOS(E_F) (states/eV/f.u.): 2.74
Magnetic moment (μB/cell): 0.00

Entry 9:
The following is a PBE-GGA calculation of a relaxed structure of Be2HgTe, from Alexandria.

CIF file:
```
data_Be2HgTe
_symmetry_space_group_name_H-M 'P m m m'
_symmetry_Int_Tables_number 47
_cell_length_a 3.5510
_cell_length_b 3.5792
_cell_length_c 6.5581
_cell_angle_alpha 90.00
_cell_angle_beta 90.00
_cell_angle_gamma 90.00
loop_
_symmetry_equiv_pos_as_xyz
'x,y,z'
'-x,-y,-z'
'-x,-y,z'
'x,y,-z'
'x,-y,-z'
'-x,y,z'
'-x,y,-z'
'x,-y,z'
loop_
_atom_site_label
_atom_site_type_symbol
_atom_site_fract_x
_atom_site_fract_y
_atom_site_fract_z
_atom_site_occupancy
Be1 Be 0.0000 0.0000 0.0000 1
Be2 Be 0.0000 0.5000 0.5000 1
Hg1 Hg 0.5000 0.0000 0.5000 1
Te1 Te 0.5000 0.5000 0.0000 1
```

Results
Energy relative to the lowest polymorph listed for this composition (eV per formula unit): 0.838
DOS(E_F) (states/eV/f.u.): 1.16
Magnetic moment (μB/cell): 0.00
Formation energy (no corrections) (eV/atom): 0.55

Entry 10:
The following is a PBE-GGA calculation of a relaxed structure of Ce3PtRh2, from Alexandria.

CIF file:
```
data_Ce3PtRh2
_symmetry_space_group_name_H-M 'C 1 2/c 1'
_symmetry_Int_Tables_number 15
_cell_length_a 12.8091
_cell_length_b 5.7365
_cell_length_c 8.0782
_cell_angle_alpha 90.00
_cell_angle_beta 108.40
_cell_angle_gamma 90.00
loop_
_symmetry_equiv_pos_as_xyz
'x,y,z'
'-x,-y,-z'
'-x,y,-z+1/2'
'x,-y,z+1/2'
'x+1/2,y+1/2,z'
'-x+1/2,-y+1/2,-z'
'-x+1/2,y+1/2,-z+1/2'
'x+1/2,-y+1/2,z+1/2'
loop_
_atom_site_label
_atom_site_type_symbol
_atom_site_fract_x
_atom_site_fract_y
_atom_site_fract_z
_atom_site_occupancy
Ce1 Ce 0.0000 0.0012 0.2500 1
Ce2 Ce 0.1719 0.4986 0.0859 1
Pt1 Pt 0.0000 0.4988 0.7500 1
Rh1 Rh 0.1643 0.0014 0.5821 1
```

Results
VASP energy (eV per atom): -7.24
DOS(E_F) (states/eV/f.u.): 8.20
Magnetic moment (μB/cell): 0.00

Entry 11:
The following is a PBE-GGA calculation of a relaxed structure of AlCrIn2I, from Alexandria.

CIF file:
```
data_AlCrIn2I
_symmetry_space_group_name_H-M 'P 4/m m m'
_symmetry_Int_Tables_number 123
_symmetry_space_group_name_Hall '-P 4 2'
_cell_length_a 5.5246
_cell_length_b 5.5246
_cell_length_c 5.8821
_cell_angle_alpha 90.00
_cell_angle_beta 90.00
_cell_angle_gamma 90.00
loop_
_atom_site_label
_atom_site_type_symbol
_atom_site_fract_x
_atom_site_fract_y
_atom_site_fract_z
_atom_site_occupancy
Al1 Al 0.0000 0.0000 0.0000 1
Cr1 Cr 0.5000 0.5000 0.5000 1
In1 In 0.0000 0.5000 0.0000 1
I1 I 0.0000 0.0000 0.5000 1
```

Results
DOS(E_F) (states/eV/f.u.): 3.24
Magnetic moment (μB/cell): 5.43
Formation energy (no corrections) (eV/atom): 0.69

Entry 12:
The following is a PBE-GGA calculation of a relaxed structure of Tb4TlCd2, from Alexandria.

CIF file:
```
data_Tb4TlCd2
_symmetry_space_group_name_H-M 'R -3 m'
_symmetry_Int_Tables_number 166
_symmetry_space_group_name_Hall '-R 3 2"'
_cell_length_a 5.0657
_cell_length_b 5.0657
_cell_length_c 29.6307
_cell_angle_alpha 90.00
_cell_angle_beta 90.00
_cell_angle_gamma 120.00
loop_
_atom_site_label
_atom_site_type_symbol
_atom_site_fract_x
_atom_site_fract_y
_atom_site_fract_z
_atom_site_occupancy
Tb1 Tb 0.0000 0.0000 0.1212 1
Tb2 Tb 0.0000 0.0000 0.2988 1
Tl1 Tl 0.0000 0.0000 0.5000 1
Cd1 Cd 0.0000 0.0000 0.4018 1
```

Results
Energy relative to the lowest polymorph listed for this composition (eV per formula unit): 1.102
DOS(E_F) (states/eV/f.u.): 10.07
Magnetic moment (μB/cell): 0.00